[1]
Sc2MnBiC after structural relaxation, computed with PBE.

Summary:
Fermi-level density of states: 0.90 states/eV per atom
formation enthalpy at 0 K: -377 meV/atom
ρ: 6.9 Mg/m³
relative energy among the computed polymorphs: 0.0 meV/atom

a b c (Å): 4.6295 4.6295 4.1053
angles (deg): 90.00 90.00 90.00
Last column: nearest neighbours and their distance in Å.
Fractional coordinates of all 5 atoms:
Sc  0.0000  0.5000  0.0000  2 C 2.31
Sc  0.5000  0.0000  0.0000  2 C 2.31
Mn  0.0000  0.0000  0.5000  2 C 2.05
Bi  0.5000  0.5000  0.5000  8 Sc 3.09, 4 Mn 3.27
C  0.0000  0.0000  0.0000  2 Mn 2.05

=====

[2]
Eu3Ge5 after structural relaxation, computed with PBE.

Summary:
Fermi-level density of states: 2.23 states/eV per atom
formation enthalpy at 0 K: -612 meV/atom
ρ: 7.2 Mg/m³

a b c (Å): 6.2667 6.2667 9.7978
angles (deg): 90.00 90.00 78.21
Last column: nearest neighbours and their distance in Å.
Fractional coordinates of all 16 atoms:
Eu  0.1511  0.8489  0.7500  7 Ge 3.04-3.30
Eu  0.2948  0.2948  0.0000  10 Ge 3.13-3.34
Eu  0.2948  0.2948  0.5000  10 Ge 3.13-3.34
Eu  0.7052  0.7052  0.0000  10 Ge 3.13-3.34
Eu  0.7052  0.7052  0.5000  10 Ge 3.13-3.34
Eu  0.8489  0.1511  0.2500  7 Ge 3.04-3.30
Ge  0.0187  0.5934  0.2500  3 Ge 2.67
Ge  0.1916  0.8084  0.0585  3 Ge 2.67-2.78
Ge  0.1916  0.8084  0.4415  3 Ge 2.67-2.78
Ge  0.4066  0.9813  0.2500  3 Ge 2.67
Ge  0.4509  0.5491  0.2500  4 Ge 2.67-2.78
Ge  0.5491  0.4509  0.7500  4 Ge 2.67-2.78
Ge  0.5934  0.0187  0.7500  3 Ge 2.67
Ge  0.8084  0.1916  0.5585  3 Ge 2.67-2.78
Ge  0.8084  0.1916  0.9415  3 Ge 2.67-2.78
Ge  0.9813  0.4066  0.7500  3 Ge 2.67

=====

[3]
Pa2InPb after structural relaxation, computed with PBE.

Summary:
Fermi-level density of states: 2.09 states/eV per atom
formation enthalpy at 0 K: 82 meV/atom
ρ: 12.4 Mg/m³
relative energy among the computed polymorphs: 4.4 meV/atom

a b c (Å): 3.3256 3.3256 9.4587
angles (deg): 90.00 90.00 90.00
Last column: nearest neighbours and their distance in Å.
Fractional coordinates of all 4 atoms:
Pa  0.0000  0.0000  0.2443  4 In 3.30, 4 Pa 3.33, 4 Pb 3.37
Pa  0.0000  0.0000  0.7557  4 In 3.30, 4 Pa 3.33, 4 Pb 3.37
In  0.5000  0.5000  0.0000  8 Pa 3.30, 4 In 3.33
Pb  0.5000  0.5000  0.5000  4 Pb 3.33, 8 Pa 3.37

=====

[4]
Tm3Ni5Bi12 after structural relaxation, computed with PBE.

Summary:
Fermi-level density of states: 0.72 states/eV per atom
formation enthalpy at 0 K: 34 meV/atom
ρ: 9.6 Mg/m³

a b c (Å): 14.3708 14.3708 14.3708
angles (deg): 109.47 109.47 109.47
Last column: nearest neighbours and their distance in Å.
Fractional coordinates of all 80 atoms:
Tm  0.1250  0.2500  0.3750  8 Bi 3.15-3.37
Tm  0.1250  0.3750  0.7500  8 Bi 3.15-3.37
Tm  0.2500  0.3750  0.1250  8 Bi 3.15-3.37
Tm  0.2500  0.8750  0.6250  8 Bi 3.15-3.37
Tm  0.3750  0.1250  0.2500  8 Bi 3.15-3.37
Tm  0.3750  0.7500  0.1250  8 Bi 3.15-3.37
Tm  0.6250  0.2500  0.8750  8 Bi 3.15-3.37
Tm  0.6250  0.8750  0.7500  8 Bi 3.15-3.37
Tm  0.7500  0.1250  0.3750  8 Bi 3.15-3.37
Tm  0.7500  0.6250  0.8750  8 Bi 3.15-3.37
Tm  0.8750  0.6250  0.2500  8 Bi 3.15-3.37
Tm  0.8750  0.7500  0.6250  8 Bi 3.15-3.37
Ni  0.0000  0.0000  0.0000  6 Bi 2.67
Ni  0.0000  0.0000  0.5000  6 Bi 2.67
Ni  0.0000  0.5000  0.0000  6 Bi 2.67
Ni  0.0000  0.5000  0.5000  6 Bi 2.67
Ni  0.1250  0.7500  0.8750  4 Bi 2.55
Ni  0.1250  0.8750  0.2500  4 Bi 2.55
Ni  0.2500  0.1250  0.8750  4 Bi 2.55
Ni  0.2500  0.6250  0.3750  4 Bi 2.55
Ni  0.3750  0.2500  0.6250  4 Bi 2.55
Ni  0.3750  0.6250  0.7500  4 Bi 2.55
Ni  0.5000  0.0000  0.0000  6 Bi 2.67
Ni  0.5000  0.0000  0.5000  6 Bi 2.67
Ni  0.5000  0.5000  0.0000  6 Bi 2.67
Ni  0.5000  0.5000  0.5000  6 Bi 2.67
Ni  0.6250  0.3750  0.2500  4 Bi 2.55
Ni  0.6250  0.7500  0.3750  4 Bi 2.55
Ni  0.7500  0.3750  0.6250  4 Bi 2.55
Ni  0.7500  0.8750  0.1250  4 Bi 2.55
Ni  0.8750  0.1250  0.7500  4 Bi 2.55
Ni  0.8750  0.2500  0.1250  4 Bi 2.55
Bi  0.0292  0.2077  0.1080  2 Ni 2.55-2.67
Bi  0.0292  0.3215  0.9212  2 Ni 2.55-2.67
Bi  0.0788  0.6080  0.4002  2 Ni 2.55-2.67
Bi  0.0788  0.9708  0.6785  2 Ni 2.55-2.67
Bi  0.0998  0.7077  0.6785  2 Ni 2.55-2.67
Bi  0.0998  0.8920  0.4212  2 Ni 2.55-2.67
Bi  0.1080  0.0292  0.2077  2 Ni 2.55-2.67
Bi  0.1080  0.5788  0.9002  2 Ni 2.55-2.67
Bi  0.1785  0.2077  0.5998  2 Ni 2.55-2.67
Bi  0.1785  0.4708  0.5788  2 Ni 2.55-2.67
Bi  0.2077  0.1080  0.0292  2 Ni 2.55-2.67
Bi  0.2077  0.5998  0.1785  2 Ni 2.55-2.67
Bi  0.2923  0.3215  0.9002  2 Ni 2.55-2.67
Bi  0.2923  0.4708  0.3920  2 Ni 2.55-2.67
Bi  0.3215  0.9002  0.2923  2 Ni 2.55-2.67
Bi  0.3215  0.9212  0.0292  2 Ni 2.55-2.67
Bi  0.3920  0.2923  0.4708  2 Ni 2.55-2.67
Bi  0.3920  0.5998  0.9212  2 Ni 2.55-2.67
Bi  0.4002  0.0788  0.6080  2 Ni 2.55-2.67
Bi  0.4002  0.8215  0.7923  2 Ni 2.55-2.67
Bi  0.4212  0.0998  0.8920  2 Ni 2.55-2.67
Bi  0.4212  0.8215  0.5292  2 Ni 2.55-2.67
Bi  0.4708  0.3920  0.2923  2 Ni 2.55-2.67
Bi  0.4708  0.5788  0.1785  2 Ni 2.55-2.67
Bi  0.5292  0.4212  0.8215  2 Ni 2.55-2.67
Bi  0.5292  0.6080  0.7077  2 Ni 2.55-2.67
Bi  0.5788  0.1785  0.4708  2 Ni 2.55-2.67
Bi  0.5788  0.9002  0.1080  2 Ni 2.55-2.67
Bi  0.5998  0.1785  0.2077  2 Ni 2.55-2.67
Bi  0.5998  0.9212  0.3920  2 Ni 2.55-2.67
Bi  0.6080  0.4002  0.0788  2 Ni 2.55-2.67
Bi  0.6080  0.7077  0.5292  2 Ni 2.55-2.67
Bi  0.6785  0.0788  0.9708  2 Ni 2.55-2.67
Bi  0.6785  0.0998  0.7077  2 Ni 2.55-2.67
Bi  0.7077  0.5292  0.6080  2 Ni 2.55-2.67
Bi  0.7077  0.6785  0.0998  2 Ni 2.55-2.67
Bi  0.7923  0.4002  0.8215  2 Ni 2.55-2.67
Bi  0.7923  0.8920  0.9708  2 Ni 2.55-2.67
Bi  0.8215  0.5292  0.4212  2 Ni 2.55-2.67
Bi  0.8215  0.7923  0.4002  2 Ni 2.55-2.67
Bi  0.8920  0.4212  0.0998  2 Ni 2.55-2.67
Bi  0.8920  0.9708  0.7923  2 Ni 2.55-2.67
Bi  0.9002  0.1080  0.5788  2 Ni 2.55-2.67
Bi  0.9002  0.2923  0.3215  2 Ni 2.55-2.67
Bi  0.9212  0.0292  0.3215  2 Ni 2.55-2.67
Bi  0.9212  0.3920  0.5998  2 Ni 2.55-2.67
Bi  0.9708  0.6785  0.0788  2 Ni 2.55-2.67
Bi  0.9708  0.7923  0.8920  2 Ni 2.55-2.67

=====

[5]
NdYHg3 after structural relaxation, computed with PBE.

Summary:
Fermi-level density of states: 1.08 states/eV per atom
formation enthalpy at 0 K: -437 meV/atom
ρ: 10.5 Mg/m³

a b c (Å): 14.7213 14.7213 4.9512
angles (deg): 90.00 90.00 165.76
Last column: nearest neighbours and their distance in Å.
Fractional coordinates of all 10 atoms:
Nd  0.0761  0.9239  0.7500  12 Hg 3.37-3.61, 2 Nd 3.65
Nd  0.9239  0.0761  0.2500  12 Hg 3.37-3.61, 2 Nd 3.65
Y  0.2102  0.7898  0.2500  7 Hg 3.13-3.18
Y  0.7898  0.2102  0.7500  7 Hg 3.13-3.18
Hg  0.3172  0.6828  0.2500  2 Hg 3.03, 5 Y 3.13-3.18
Hg  0.3771  0.6229  0.7500  3 Hg 2.88-3.03, 2 Y 3.14
Hg  0.4757  0.5243  0.7500  3 Hg 2.85-2.88
Hg  0.5243  0.4757  0.2500  3 Hg 2.85-2.88
Hg  0.6229  0.3771  0.2500  3 Hg 2.88-3.03, 2 Y 3.14
Hg  0.6828  0.3172  0.7500  2 Hg 3.03, 5 Y 3.13-3.18

=====

[6]
TbTm2Co after structural relaxation, computed with PBE.

Summary:
Fermi-level density of states: 1.44 states/eV per atom
formation enthalpy at 0 K: 294 meV/atom
ρ: 9.8 Mg/m³
relative energy among the computed polymorphs: 478.7 meV/atom

a b c (Å): 5.0814 5.0814 5.0814
angles (deg): 60.85 60.85 60.85
Last column: nearest neighbours and their distance in Å.
Fractional coordinates of all 4 atoms:
Tb  0.0000  0.0000  0.0000  8 Tm 3.13
Tm  0.2528  0.2528  0.2528  4 Co 3.06-3.16, 4 Tb 3.13
Tm  0.7472  0.7472  0.7472  4 Co 3.06-3.16, 4 Tb 3.13
Co  0.5000  0.5000  0.5000  8 Tm 3.06-3.16